--- 1 ---
# LaPr12Dy6

A relaxed LaPr12Dy6 crystal (PBE, Alexandria via LeMat-Bulk).

Calculated values
DOS(E_F): 2.04 states/eV per atom
Density: 6.81 Mg/m³

Lattice parameters (Å, degrees): 8.952 8.952 8.952 99.57 99.57 99.57
Sites, in units of the cell vectors:
Dy 0.663 0.099 0.099
Dy 0.099 0.099 0.663
Dy 0.901 0.901 0.337
Dy 0.901 0.337 0.901
Dy 0.099 0.663 0.099
Dy 0.337 0.901 0.901
Pr 0.918 0.648 0.648
Pr 0.241 0.759 0.500
Pr 0.082 0.352 0.352
Pr 0.352 0.352 0.082
Pr 0.759 0.500 0.241
Pr 0.648 0.918 0.648
Pr 0.241 0.500 0.759
Pr 0.759 0.241 0.500
Pr 0.500 0.241 0.759
Pr 0.352 0.082 0.352
Pr 0.500 0.759 0.241
Pr 0.648 0.648 0.918
La 0.000 0.000 0.000


--- 2 ---
# LaPr12Dy6

A relaxed LaPr12Dy6 crystal (PBE, Alexandria via LeMat-Bulk).

Calculated values
DOS(E_F): 1.66 states/eV per atom
Density: 6.92 Mg/m³

Lattice parameters (Å, degrees): 8.767 8.767 8.767 88.83 88.83 88.83
Sites, in units of the cell vectors:
Pr 0.805 0.636 0.983
Pr 0.017 0.195 0.364
Pr 0.433 0.782 0.536
Pr 0.464 0.567 0.218
Pr 0.536 0.433 0.782
Pr 0.364 0.017 0.195
Pr 0.567 0.218 0.464
Pr 0.195 0.364 0.017
Pr 0.782 0.536 0.433
Pr 0.983 0.805 0.636
Pr 0.218 0.464 0.567
Pr 0.636 0.983 0.805
Dy 0.900 0.299 0.741
Dy 0.741 0.900 0.299
Dy 0.299 0.741 0.900
Dy 0.701 0.259 0.100
Dy 0.259 0.100 0.701
Dy 0.100 0.701 0.259
La 0.000 0.000 0.000


Least stable = 1


--- 1 ---
# La12PrDy7

A relaxed La12PrDy7 crystal (PBE, Alexandria via LeMat-Bulk).

Calculated values
DOS(E_F): 1.36 states/eV per atom
Density: 6.88 Mg/m³

Lattice parameters (Å, degrees): 6.388 11.532 11.532 116.67 100.64 100.64
Sites, in units of the cell vectors:
La 0.501 0.593 0.408
La 0.432 0.000 0.356
La 0.924 0.356 0.356
La 0.076 0.644 0.644
La 0.907 0.408 0.815
La 0.093 0.592 0.185
La 0.431 0.356 0.000
La 0.908 0.815 0.407
La 0.092 0.185 0.593
La 0.569 0.644 0.000
La 0.499 0.407 0.592
La 0.568 0.000 0.644
Dy 0.884 0.250 0.000
Dy 0.116 0.750 0.000
Dy 0.884 0.000 0.250
Dy 0.116 0.000 0.750
Dy 0.500 0.000 0.000
Dy 0.365 0.250 0.250
Dy 0.635 0.750 0.750
Pr 0.000 0.000 0.000


--- 2 ---
# La12PrDy7

A relaxed La12PrDy7 crystal (PBE, Alexandria via LeMat-Bulk).

Calculated values
DOS(E_F): 1.73 states/eV per atom
Density: 6.97 Mg/m³

Lattice parameters (Å, degrees): 9.011 9.011 9.011 99.03 99.03 99.03
Sites, in units of the cell vectors:
Dy 0.500 0.500 0.500
Dy 0.337 0.905 0.905
Dy 0.905 0.337 0.905
Dy 0.663 0.095 0.095
Dy 0.905 0.905 0.337
Dy 0.095 0.095 0.663
Dy 0.095 0.663 0.095
La 0.760 0.500 0.240
La 0.087 0.355 0.355
La 0.913 0.645 0.645
La 0.760 0.240 0.500
La 0.500 0.240 0.760
La 0.355 0.355 0.087
La 0.240 0.760 0.500
La 0.645 0.913 0.645
La 0.645 0.645 0.913
La 0.355 0.087 0.355
La 0.500 0.760 0.240
La 0.240 0.500 0.760
Pr 0.000 0.000 0.000


Least stable = 1


--- 1 ---
# La5Pr2Dy2

A relaxed La5Pr2Dy2 crystal (PBE, Alexandria via LeMat-Bulk).

Calculated values
DOS(E_F): 1.38 states/eV per atom
Density: 6.82 Mg/m³

Lattice parameters (Å, degrees): 12.017 6.978 10.264 109.87 125.83 90.00
Sites, in units of the cell vectors:
La 0.783 0.268 0.101
La 0.010 0.644 0.500
La 0.990 0.144 0.500
La 0.629 0.734 0.710
La 0.371 0.024 0.290
La 0.217 0.166 0.899
La 0.581 0.234 0.710
La 0.819 0.768 0.101
La 0.181 0.666 0.899
La 0.419 0.524 0.290
Pr 0.251 0.336 0.500
Pr 0.500 0.573 0.000
Pr 0.000 0.073 0.000
Pr 0.749 0.836 0.500
Dy 0.380 0.917 0.743
Dy 0.620 0.174 0.257
Dy 0.137 0.674 0.257
Dy 0.863 0.417 0.743


--- 2 ---
# La5Pr2Dy2

A relaxed La5Pr2Dy2 crystal (PBE, Alexandria via LeMat-Bulk).

Calculated values
DOS(E_F): 2.08 states/eV per atom
Density: 6.75 Mg/m³

Lattice parameters (Å, degrees): 6.143 4.345 17.237 97.31 90.00 134.98
Sites, in units of the cell vectors:
La 0.447 0.895 0.893
La 0.218 0.436 0.438
La 0.782 0.564 0.562
La 0.553 0.105 0.107
La 0.000 0.000 0.000
Pr 0.888 0.776 0.774
Pr 0.112 0.224 0.226
Dy 0.665 0.330 0.332
Dy 0.335 0.670 0.668


Least stable = 1


--- 1 ---
# La12Pr7Dy

A relaxed La12Pr7Dy crystal (PBE, Alexandria via LeMat-Bulk).

Calculated values
DOS(E_F): 1.92 states/eV per atom
Density: 6.44 Mg/m³

Lattice parameters (Å, degrees): 8.989 8.989 8.989 89.65 89.65 89.65
Sites, in units of the cell vectors:
La 0.485 0.602 0.144
La 0.856 0.515 0.398
La 0.746 0.279 0.144
La 0.144 0.485 0.602
La 0.721 0.856 0.254
La 0.279 0.144 0.746
La 0.144 0.746 0.279
La 0.515 0.398 0.856
La 0.254 0.721 0.856
La 0.602 0.144 0.485
La 0.398 0.856 0.515
La 0.856 0.254 0.721
Dy 0.000 0.000 0.000
Pr 0.138 0.384 0.073
Pr 0.384 0.073 0.138
Pr 0.927 0.862 0.616
Pr 0.073 0.138 0.384
Pr 0.862 0.616 0.927
Pr 0.616 0.927 0.862
Pr 0.500 0.500 0.500


--- 2 ---
# La12Pr7Dy

A relaxed La12Pr7Dy crystal (PBE, Alexandria via LeMat-Bulk).

Calculated values
DOS(E_F): 1.47 states/eV per atom
Density: 6.29 Mg/m³

Lattice parameters (Å, degrees): 7.150 11.211 11.211 64.40 77.73 102.28
Sites, in units of the cell vectors:
La 0.502 0.786 0.432
La 0.799 0.071 0.455
La 0.717 0.782 0.786
La 0.283 0.218 0.214
La 0.066 0.568 0.218
La 0.498 0.214 0.568
La 0.201 0.929 0.545
La 0.253 0.455 0.474
La 0.934 0.432 0.782
La 0.727 0.474 0.071
La 0.273 0.526 0.929
La 0.747 0.545 0.526
Pr 0.773 0.159 0.148
Pr 0.500 0.000 0.000
Pr 0.079 0.852 0.308
Pr 0.921 0.148 0.692
Pr 0.386 0.308 0.841
Pr 0.614 0.692 0.159
Pr 0.227 0.841 0.852
Dy 0.000 0.000 0.000


Least stable = 2


--- 1 ---
# La2Pr5Dy12

A relaxed La2Pr5Dy12 crystal (PBE, Alexandria via LeMat-Bulk).

Calculated values
DOS(E_F): 1.59 states/eV per atom
Density: 7.61 Mg/m³

Lattice parameters (Å, degrees): 6.876 15.188 16.409 155.20 91.18 99.90
Sites, in units of the cell vectors:
Dy 0.119 0.598 0.983
Dy 0.380 0.476 0.721
Dy 0.567 0.942 0.766
Dy 0.084 0.449 0.260
Dy 0.881 0.402 0.017
Dy 0.612 0.511 0.932
Dy 0.388 0.489 0.068
Dy 0.916 0.999 0.245
Dy 0.620 0.524 0.279
Dy 0.433 0.058 0.234
Dy 0.916 0.551 0.740
Dy 0.084 0.001 0.755
Pr 0.236 0.471 0.505
Pr 0.000 0.000 0.500
Pr 0.764 0.529 0.495
Pr 0.425 0.939 0.555
Pr 0.575 0.061 0.445
La 0.262 0.044 0.012
La 0.738 0.956 0.988


--- 2 ---
# La2Pr5Dy12

A relaxed La2Pr5Dy12 crystal (PBE, Alexandria via LeMat-Bulk).

Calculated values
DOS(E_F): 1.45 states/eV per atom
Density: 7.52 Mg/m³

Lattice parameters (Å, degrees): 9.380 12.489 8.739 132.66 90.00 112.06
Sites, in units of the cell vectors:
Dy 0.327 0.299 0.056
Dy 0.079 0.158 0.280
Dy 0.442 0.884 0.220
Dy 0.818 0.257 0.596
Dy 0.558 0.116 0.780
Dy 0.972 0.299 0.056
Dy 0.182 0.743 0.404
Dy 0.673 0.701 0.944
Dy 0.440 0.257 0.596
Dy 0.560 0.743 0.404
Dy 0.921 0.842 0.720
Dy 0.028 0.701 0.944
La 0.323 0.000 0.000
La 0.677 0.000 0.000
Pr 0.000 0.000 0.500
Pr 0.231 0.461 0.889
Pr 0.769 0.539 0.111
Pr 0.706 0.412 0.394
Pr 0.294 0.588 0.606


Least stable = 2


--- 1 ---
# La2Pr7Dy3

A relaxed La2Pr7Dy3 crystal (PBE, Alexandria via LeMat-Bulk).

Calculated values
DOS(E_F): 1.74 states/eV per atom
Density: 6.81 Mg/m³

Lattice parameters (Å, degrees): 3.691 5.928 19.737 98.64 90.00 90.00
Sites, in units of the cell vectors:
Dy 0.500 0.686 0.371
Dy 0.500 0.314 0.629
Dy 0.500 0.500 0.000
La 0.000 0.851 0.702
La 0.000 0.149 0.298
Pr 0.000 0.768 0.537
Pr 0.000 0.232 0.463
Pr 0.000 0.000 0.000
Pr 0.000 0.410 0.819
Pr 0.500 0.072 0.144
Pr 0.500 0.928 0.856
Pr 0.000 0.590 0.181


--- 2 ---
# La2Pr7Dy3

A relaxed La2Pr7Dy3 crystal (PBE, Alexandria via LeMat-Bulk).

Calculated values
DOS(E_F): 1.62 states/eV per atom
Density: 6.86 Mg/m³

Lattice parameters (Å, degrees): 3.615 6.575 18.467 74.98 90.00 90.00
Sites, in units of the cell vectors:
La 0.500 0.389 0.669
La 0.500 0.611 0.331
Pr 0.000 0.443 0.836
Pr 0.000 0.557 0.164
Pr 0.500 0.060 0.169
Pr 0.500 0.763 0.495
Pr 0.000 0.000 0.000
Pr 0.500 0.940 0.831
Pr 0.500 0.237 0.505
Dy 0.000 0.885 0.659
Dy 0.000 0.115 0.341
Dy 0.500 0.500 0.000


Least stable = 1


--- 1 ---
# LaPr2Dy

A relaxed LaPr2Dy crystal (PBE, Alexandria via LeMat-Bulk).

Calculated values
DOS(E_F): 2.38 states/eV per atom
Density: 6.85 Mg/m³

Lattice parameters (Å, degrees): 4.304 4.304 7.634 90.00 90.00 90.00
Sites, in units of the cell vectors:
La 0.500 0.500 0.500
Pr 0.000 0.000 0.236
Pr 0.000 0.000 0.764
Dy 0.500 0.500 0.000


--- 2 ---
# LaPr2Dy

A relaxed LaPr2Dy crystal (PBE, Alexandria via LeMat-Bulk).

Calculated values
DOS(E_F): 1.65 states/eV per atom
Density: 6.90 Mg/m³

Lattice parameters (Å, degrees): 5.220 5.187 5.187 90.00 90.00 90.00
Sites, in units of the cell vectors:
Pr 0.000 0.000 0.500
Pr 0.000 0.500 0.000
Dy 0.500 0.500 0.500
La 0.500 0.000 0.000


--- 3 ---
# LaPr2Dy

A relaxed LaPr2Dy crystal (PBE, Alexandria via LeMat-Bulk).

Calculated values
DOS(E_F): 1.49 states/eV per atom
Density: 6.86 Mg/m³

Lattice parameters (Å, degrees): 3.680 3.680 12.225 81.32 81.32 59.96
Sites, in units of the cell vectors:
Dy 0.666 0.666 0.000
Pr 0.082 0.082 0.757
Pr 0.253 0.253 0.242
La 0.499 0.499 0.501


Least stable = 1


--- 1 ---
# La3PrDy4

A relaxed La3PrDy4 crystal (PBE, Alexandria via LeMat-Bulk).

Calculated values
DOS(E_F): 1.73 states/eV per atom
Density: 7.27 Mg/m³

Lattice parameters (Å, degrees): 3.497 9.079 9.079 81.53 78.90 78.90
Sites, in units of the cell vectors:
Dy 0.365 0.886 0.384
Dy 0.365 0.384 0.886
Dy 0.635 0.616 0.114
Dy 0.635 0.114 0.616
La 0.000 0.500 0.500
La 0.758 0.242 0.242
La 0.242 0.758 0.758
Pr 0.500 0.000 0.000


--- 2 ---
# La3PrDy4

A relaxed La3PrDy4 crystal (PBE, Alexandria via LeMat-Bulk).

Calculated values
DOS(E_F): 1.76 states/eV per atom
Density: 7.29 Mg/m³

Lattice parameters (Å, degrees): 6.376 7.356 11.724 90.00 90.00 90.00
Sites, in units of the cell vectors:
La 0.980 0.626 0.750
La 0.480 0.374 0.250
La 0.650 0.629 0.000
La 0.150 0.371 0.500
La 0.480 0.374 0.750
La 0.980 0.626 0.250
Dy 0.980 0.120 0.750
Dy 0.480 0.880 0.750
Dy 0.480 0.880 0.250
Dy 0.649 0.121 0.500
Dy 0.649 0.121 0.000
Dy 0.980 0.120 0.250
Dy 0.149 0.879 0.000
Dy 0.149 0.879 0.500
Pr 0.148 0.371 0.000
Pr 0.648 0.629 0.500


Least stable = 1